No. 1
DFT (PBE-GGA) results for crystalline Dy2Fe5Co5 at its relaxed geometry.

SG: Pmmm
Formation energy: -128 meV per atom

Unit cell a=3.908 b=5.024 c=8.672 alpha=90.00 beta=90.00 gamma=90.00
Positions (direct):
Co 0.500 0.250 0.750
Co 0.500 0.250 0.250
Co 0.500 0.500 0.500
Co 0.500 0.750 0.250
Co 0.500 0.750 0.750
Fe 0.000 0.000 0.831
Fe 0.500 0.000 0.000
Fe 0.000 0.500 0.666
Fe 0.000 0.000 0.169
Fe 0.000 0.500 0.334
Dy 0.000 0.000 0.500
Dy 0.000 0.500 0.000

***

No. 2
DFT (PBE-GGA) results for crystalline Dy2Fe5Co12 at its relaxed geometry.

SG: R-3m
Formation energy: -104 meV per atom

Unit cell a=6.301 b=6.301 c=6.301 alpha=82.78 beta=82.78 gamma=82.78
Positions (direct):
Co 0.000 0.710 0.290
Co 0.346 0.346 0.842
Co 0.158 0.654 0.654
Co 0.000 0.290 0.710
Co 0.842 0.346 0.346
Co 0.654 0.158 0.654
Co 0.710 0.000 0.290
Co 0.290 0.710 0.000
Co 0.654 0.654 0.158
Co 0.346 0.842 0.346
Co 0.290 0.000 0.710
Co 0.710 0.290 0.000
Fe 0.904 0.904 0.904
Fe 0.500 0.000 0.000
Fe 0.000 0.500 0.000
Fe 0.096 0.096 0.096
Fe 0.000 0.000 0.500
Dy 0.658 0.658 0.658
Dy 0.342 0.342 0.342

***

No. 3
DFT (PBE-GGA) results for crystalline Dy2Fe2Co15 at its relaxed geometry.

SG: R-3m
Formation energy: -114 meV per atom

Unit cell a=6.268 b=6.268 c=6.268 alpha=83.07 beta=83.07 gamma=83.07
Positions (direct):
Co 0.500 0.000 0.000
Co 0.347 0.848 0.347
Co 0.000 0.289 0.711
Co 0.289 0.711 0.000
Co 0.711 0.000 0.289
Co 0.848 0.347 0.347
Co 0.347 0.347 0.848
Co 0.289 0.000 0.711
Co 0.653 0.152 0.653
Co 0.000 0.000 0.500
Co 0.000 0.711 0.289
Co 0.653 0.653 0.152
Co 0.152 0.653 0.653
Co 0.711 0.289 0.000
Co 0.000 0.500 0.000
Fe 0.902 0.902 0.902
Fe 0.098 0.098 0.098
Dy 0.655 0.655 0.655
Dy 0.345 0.345 0.345

***

No. 4
DFT (PBE-GGA) results for crystalline DyFeCo3 at its relaxed geometry.

SG: Imma
Formation energy: 52 meV per atom

Unit cell a=4.693 b=8.200 c=6.215 alpha=131.28 beta=112.18 gamma=90.00
Positions (direct):
Dy 0.250 0.290 0.500
Dy 0.750 0.710 0.500
Fe 0.000 0.500 0.000
Fe 0.500 0.000 0.000
Co 0.250 0.929 0.500
Co 0.750 0.071 0.500
Co 0.254 0.754 0.008
Co 0.246 0.246 0.992
Co 0.754 0.754 0.008
Co 0.746 0.246 0.992

***

No. 5
DFT (PBE-GGA) results for crystalline DyFeCo10 at its relaxed geometry.

SG: Pmmm
Formation energy: 81 meV per atom

Unit cell a=4.025 b=4.718 c=8.279 alpha=90.00 beta=90.00 gamma=90.00
Positions (direct):
Co 0.500 0.248 0.244
Co 0.000 0.500 0.150
Co 0.500 0.000 0.500
Co 0.500 0.752 0.756
Co 0.000 0.000 0.701
Co 0.500 0.752 0.244
Co 0.500 0.500 0.000
Co 0.000 0.000 0.299
Co 0.500 0.248 0.756
Co 0.000 0.500 0.850
Fe 0.000 0.000 0.000
Dy 0.000 0.500 0.500

***

No. 6
DFT (PBE-GGA) results for crystalline Dy3Fe2Co7 at its relaxed geometry.

SG: R-3m
Formation energy: -182 meV per atom

Unit cell a=5.061 b=5.061 c=8.454 alpha=72.58 beta=72.58 gamma=60.00
Positions (direct):
Dy 0.141 0.141 0.578
Dy 0.859 0.859 0.422
Dy 0.000 0.000 0.000
Co 0.920 0.417 0.245
Co 0.500 0.500 0.500
Co 0.080 0.583 0.755
Co 0.583 0.583 0.755
Co 0.417 0.417 0.245
Co 0.583 0.080 0.755
Co 0.417 0.920 0.245
Fe 0.666 0.666 0.002
Fe 0.334 0.334 0.998

***

No. 7
DFT (PBE-GGA) results for crystalline DyFe2Co2 at its relaxed geometry.

SG: I4/mmm
Formation energy: -45 meV per atom

Unit cell a=3.920 b=3.920 c=10.127 alpha=101.16 beta=101.16 gamma=90.00
Positions (direct):
Co 0.250 0.750 0.500
Co 0.068 0.068 0.136
Co 0.932 0.932 0.864
Co 0.750 0.250 0.500
Dy 0.373 0.373 0.746
Dy 0.627 0.627 0.254
Fe 0.814 0.814 0.629
Fe 0.500 0.000 0.000
Fe 0.186 0.186 0.371
Fe 0.000 0.500 0.000

***

No. 8
DFT (PBE-GGA) results for crystalline DyFe6Co6 at its relaxed geometry.

SG: Immm
Formation energy: -85 meV per atom

Unit cell a=4.737 b=6.338 c=6.338 alpha=81.68 beta=68.06 gamma=68.06
Positions (direct):
Fe 0.358 0.642 0.642
Fe 0.642 0.358 0.358
Fe 0.722 0.778 0.778
Fe 0.000 0.643 0.357
Fe 0.000 0.357 0.643
Fe 0.278 0.222 0.222
Co 0.000 0.500 0.000
Co 0.500 0.229 0.771
Co 0.500 0.500 0.000
Co 0.500 0.000 0.500
Co 0.000 0.000 0.500
Co 0.500 0.771 0.229
Dy 0.000 0.000 0.000

***

No. 9
DFT (PBE-GGA) results for crystalline DyFe4Co at its relaxed geometry.

SG: F-43m
Formation energy: 46 meV per atom

Unit cell a=4.935 b=4.935 c=4.935 alpha=60.00 beta=60.00 gamma=60.00
Positions (direct):
Fe 0.624 0.624 0.624
Fe 0.624 0.127 0.624
Fe 0.127 0.624 0.624
Fe 0.624 0.624 0.127
Dy 0.000 0.000 0.000
Co 0.250 0.250 0.250

***

No. 10
DFT (PBE-GGA) results for crystalline Dy2FeCo at its relaxed geometry.

SG: P4/mmm
Formation energy: 29 meV per atom

Unit cell a=3.362 b=4.752 c=4.752 alpha=90.00 beta=90.00 gamma=90.00
Positions (direct):
Dy 0.000 0.000 0.500
Dy 0.000 0.500 0.000
Fe 0.500 0.500 0.500
Co 0.500 0.000 0.000

***

No. 11
DFT (PBE-GGA) results for crystalline Dy3Fe8Co at its relaxed geometry.

SG: R3m
Formation energy: -14 meV per atom

Unit cell a=5.034 b=5.034 c=8.724 alpha=73.23 beta=73.23 gamma=60.00
Positions (direct):
Fe 0.812 0.812 0.564
Fe 0.565 0.064 0.806
Fe 0.556 0.062 0.321
Fe 0.312 0.312 0.063
Fe 0.062 0.062 0.321
Fe 0.062 0.556 0.321
Fe 0.064 0.565 0.806
Fe 0.565 0.565 0.806
Dy 0.624 0.624 0.128
Dy 0.006 0.006 0.982
Dy 0.496 0.496 0.513
Co 0.127 0.127 0.618

***

No. 12
DFT (PBE-GGA) results for crystalline Dy2FeCo at its relaxed geometry.

SG: R3m
Formation energy: -131 meV per atom

Unit cell a=3.868 b=3.868 c=7.286 alpha=74.55 beta=74.61 gamma=60.00
Positions (direct):
Co 0.133 0.896 0.838
Dy 0.713 0.475 0.100
Dy 0.893 0.656 0.558
Fe 0.472 0.235 0.821